1.
Computed, not measured: a geometry-optimized Cs2UTe2I4 structure at the GGA-PBE level of DFT.

a b c (Å): 7.0341 8.3389 8.3389
angles (deg): 60.48 87.21 87.21
Sites, in units of the cell vectors:
Cs1 0.7385 0.3271 0.3271
Cs2 0.2615 0.6729 0.6729
U1 0.5000 0.0000 0.0000
Te1 0.7482 0.8420 0.8420
Te2 0.2518 0.1580 0.1580
I1 0.7366 0.8337 0.3346
I2 0.7366 0.3346 0.8337
I3 0.2634 0.1663 0.6654
I4 0.2634 0.6654 0.1663

Properties
DOS(E_F) in states/eV per cell: 3.49
SG: No. 12
Energy relative to the elements, uncorrected in eV per atom: -0.927


2.
Computed, not measured: a geometry-optimized Tc2MoPdN structure at the GGA-PBE level of DFT.

a b c (Å): 4.0523 4.0523 4.0916
angles (deg): 90.00 90.00 90.00
Sites, in units of the cell vectors:
N1 0.0000 0.0000 0.0000
Tc1 0.0000 0.5000 0.0000
Tc2 0.5000 0.0000 0.0000
Mo1 0.0000 0.0000 0.5000
Pd1 0.5000 0.5000 0.5000

Properties
DOS(E_F) in states/eV per cell: 4.47
SG: No. 123
Energy relative to the elements, uncorrected in eV per atom: -0.038


3.
Computed, not measured: a geometry-optimized La2Cu2Sn3 structure at the GGA-PBE level of DFT.

a b c (Å): 10.2776 10.2776 7.2285
angles (deg): 90.00 90.00 153.21
Sites, in units of the cell vectors:
Sn1 0.4296 0.5704 0.9491
Sn2 0.4296 0.5704 0.5509
Sn3 0.7809 0.2191 0.2500
Sn4 0.5704 0.4296 0.4491
Sn5 0.5704 0.4296 0.0509
Sn6 0.2191 0.7809 0.7500
La1 0.9558 0.0442 0.2500
La2 0.1626 0.8374 0.2500
La3 0.0442 0.9558 0.7500
La4 0.8374 0.1626 0.7500
Cu1 0.3036 0.6964 0.4340
Cu2 0.3036 0.6964 0.0660
Cu3 0.6964 0.3036 0.9340
Cu4 0.6964 0.3036 0.5660

Properties
DOS(E_F) in states/eV per cell: 3.82
SG: No. 63
Energy relative to the elements in eV/atom: -0.56


4.
Computed, not measured: a geometry-optimized Cd6NiAu2 structure at the GGA-PBE level of DFT.

a b c (Å): 4.5507 6.5783 7.9248
angles (deg): 114.52 106.44 90.00
Sites, in units of the cell vectors:
Au1 0.6647 0.6661 0.3323
Au2 0.3353 0.3339 0.6677
Cd1 0.8440 0.0803 0.6852
Cd2 0.8440 0.6049 0.6852
Cd3 0.5000 0.2273 0.0000
Cd4 0.1560 0.9197 0.3148
Cd5 0.1560 0.3951 0.3148
Cd6 0.5000 0.7727 0.0000
Ni1 0.0000 0.0000 0.0000

Properties
DOS(E_F) in states/eV per cell: 3.70
SG: No. 12
Energy relative to the elements in eV/atom: -0.07


5.
Computed, not measured: a geometry-optimized ThZn4GaCu2 structure at the GGA-PBE level of DFT.

a b c (Å): 4.2325 4.2325 9.3225
angles (deg): 76.88 76.88 60.00
Sites, in units of the cell vectors:
Ga1 0.5000 0.5000 0.5000
Zn1 0.1214 0.1214 0.6357
Zn2 0.5970 0.5970 0.2091
Zn3 0.4030 0.4030 0.7909
Zn4 0.8786 0.8786 0.3643
Cu1 0.2472 0.2472 0.2585
Cu2 0.7528 0.7528 0.7415
Th1 0.0000 0.0000 0.0000

Properties
DOS(E_F) in states/eV per cell: 2.88
SG: No. 166
Energy relative to the elements in eV/atom: -0.11


6.
Computed, not measured: a geometry-optimized FeCuPCl2 structure at the GGA-PBE level of DFT.

a b c (Å): 4.5484 4.5484 4.8625
angles (deg): 90.00 90.00 90.00
Sites, in units of the cell vectors:
Cl1 0.0000 0.5000 0.0000
Cl2 0.5000 0.0000 0.0000
P1 0.0000 0.0000 0.5000
Cu1 0.0000 0.0000 0.0000
Fe1 0.5000 0.5000 0.5000

Properties
DOS(E_F) in states/eV per cell: 6.25
SG: No. 123
Energy relative to the elements, uncorrected in eV per atom: 0.641


7.
Computed, not measured: a geometry-optimized Al4ReMo structure at the GGA-PBE level of DFT.

a b c (Å): 4.9799 4.9799 4.9799
angles (deg): 60.00 60.00 60.00
Sites, in units of the cell vectors:
Re1 0.0000 0.0000 0.0000
Al1 0.3750 0.8751 0.3750
Al2 0.3750 0.3750 0.8751
Al3 0.8751 0.3750 0.3750
Al4 0.3750 0.3750 0.3750
Mo1 0.7500 0.7500 0.7500

Properties
DOS(E_F) in states/eV per cell: 5.97
SG: No. 216
Energy relative to the elements in eV/atom: 0.10


8.
Computed, not measured: a geometry-optimized Pm6YSc2 structure at the GGA-PBE level of DFT.

a b c (Å): 3.5357 11.4694 8.6662
angles (deg): 54.88 90.00 90.00
Sites, in units of the cell vectors:
Pm1 0.0000 0.1167 0.5369
Pm2 0.5000 0.3169 0.6653
Pm3 0.0000 0.8833 0.4631
Pm4 0.0000 0.4770 0.2066
Pm5 0.5000 0.6831 0.3347
Pm6 0.0000 0.5230 0.7934
Sc1 0.5000 0.7928 0.8658
Sc2 0.5000 0.2072 0.1342
Y1 0.0000 0.0000 0.0000

Properties
DOS(E_F) in states/eV per cell: 14.15
SG: No. 10
Energy relative to the elements in eV/atom: 0.07


9.
Computed, not measured: a geometry-optimized CeYGa2 structure at the GGA-PBE level of DFT.

a b c (Å): 4.3798 4.1016 5.9292
angles (deg): 90.00 111.64 90.00
Sites, in units of the cell vectors:
Ce1 0.4409 0.5000 0.4201
Ga1 0.0105 0.0000 0.5596
Ga2 0.1580 0.5000 0.8555
Y1 0.7216 0.0000 0.9828

Properties
DOS(E_F) in states/eV per cell: 6.66
SG: No. 38
Energy relative to the elements in eV/atom: -0.56


10.
Computed, not measured: a geometry-optimized RbCo2BiCl8 structure at the GGA-PBE level of DFT.

a b c (Å): 6.5166 6.5166 10.5071
angles (deg): 71.93 71.93 60.00
Sites, in units of the cell vectors:
Cl1 0.6036 0.2872 0.1656
Cl2 0.2872 0.9436 0.1656
Cl3 0.1788 0.1788 0.4635
Cl4 0.8212 0.8212 0.5365
Cl5 0.9436 0.6036 0.1656
Cl6 0.3964 0.7128 0.8344
Cl7 0.7128 0.0564 0.8344
Cl8 0.0564 0.3964 0.8344
Rb1 0.5000 0.5000 0.5000
Co1 0.7470 0.7470 0.7591
Co2 0.2530 0.2530 0.2409
Bi1 0.0000 0.0000 0.0000

Properties
SG: No. 148
Energy relative to the elements, uncorrected in eV per atom: -0.930


11.
Computed, not measured: a geometry-optimized PuThSi2 structure at the GGA-PBE level of DFT.

a b c (Å): 4.3769 3.8562 5.8497
angles (deg): 90.00 111.95 90.00
Sites, in units of the cell vectors:
Si1 0.1544 0.5000 0.8480
Si2 0.0135 0.0000 0.5659
Pu1 0.7251 0.0000 0.9895
Th1 0.4380 0.5000 0.4146

Properties
DOS(E_F) in states/eV per cell: 9.03
SG: No. 38
Energy relative to the elements, uncorrected in eV per atom: -0.551


12.
Computed, not measured: a geometry-optimized ZrH structure at the GGA-PBE level of DFT.

a b c (Å): 3.2378 3.2378 4.9987
angles (deg): 90.00 90.00 90.00
Sites, in units of the cell vectors:
Zr1 0.5000 0.0000 0.7500
Zr2 0.0000 0.5000 0.2500
H1 0.0000 0.0000 0.5000
H2 0.0000 0.0000 0.0000

Properties
DOS(E_F) in states/eV per cell: 1.56
SG: No. 131
Raw total energy in eV per atom: -6.382